1.
The following is a GGA-PBEsol calculation of an optimized crystal structure of TiCu3O4, from Alexandria.

```
16
Lattice="3.032 0.000 0.000 0.000 11.456 0.000 -2.664 0.000 5.129" Properties=species:S:1:pos:R:3 pbc="T T T"
Ti 0.000 0.000 0.000
Ti -1.332 5.728 2.564
Cu -1.332 0.000 2.564
Cu 0.000 5.728 0.000
Cu -1.276 2.848 4.253
Cu 0.056 2.880 1.689
Cu 0.312 8.576 3.440
Cu 1.643 8.608 0.876
O -0.054 1.089 1.572
O -1.386 4.639 4.137
O -1.167 1.027 4.307
O 0.165 4.701 1.742
O 0.203 6.755 3.387
O 1.535 10.429 0.822
O 1.753 6.817 0.992
O 0.421 10.367 3.557
```

2.
The following is a GGA-PBEsol calculation of an optimized crystal structure of Ti3Cu3O, from Alexandria.

```
28
Lattice="0.000 5.540 5.540 5.540 0.000 5.540 5.540 5.540 0.000" Properties=species:S:1:pos:R:3 pbc="T T T"
Ti 4.155 4.155 0.682
Ti 4.155 0.682 4.155
Ti 7.628 4.155 4.155
Ti 6.925 6.925 3.451
Ti 6.925 3.451 6.925
Ti 10.398 6.925 6.925
Ti 0.682 4.155 4.155
Ti 4.155 7.628 4.155
Ti 4.155 4.155 7.628
Ti 3.451 6.925 6.925
Ti 6.925 10.398 6.925
Ti 6.925 6.925 10.398
Cu 5.540 2.770 2.770
Cu 3.221 3.221 3.221
Cu 5.088 5.088 3.221
Cu 5.088 3.221 5.088
Cu 7.858 5.991 5.991
Cu 2.770 5.540 2.770
Cu 2.770 2.770 5.540
Cu 5.540 5.540 5.540
Cu 3.221 5.088 5.088
Cu 5.991 7.858 5.991
Cu 5.991 5.991 7.858
Cu 7.858 7.858 7.858
O 0.000 0.000 0.000
O 2.770 2.770 0.000
O 2.770 0.000 2.770
O 0.000 2.770 2.770
```

3.
The following is a GGA-PBEsol calculation of an optimized crystal structure of Tm2Ti12Cu9O36, from Alexandria.

```
59
Lattice="10.376 0.000 0.000 -5.188 8.986 0.000 0.000 0.000 6.370" Properties=species:S:1:pos:R:3 pbc="T T T"
Tm 0.000 5.991 1.088
Tm 5.188 2.995 5.282
Ti 0.000 0.000 0.000
Ti -2.594 4.493 0.000
Ti -0.018 2.874 2.152
Ti -2.690 7.565 2.152
Ti 2.480 1.453 4.218
Ti 0.000 5.991 4.202
Ti 5.188 0.000 0.000
Ti 2.594 4.493 0.000
Ti 5.188 2.995 2.168
Ti 2.708 7.533 2.152
Ti 7.878 1.421 4.218
Ti 5.206 6.112 4.218
Cu -2.594 4.493 3.185
Cu -0.002 3.033 5.354
Cu -2.560 7.471 5.354
Cu 2.626 1.518 1.016
Cu 5.188 0.000 3.185
Cu 2.594 4.493 3.185
Cu 2.562 7.468 5.354
Cu 7.748 1.515 1.016
Cu 5.190 5.953 1.016
O -0.698 1.485 1.077
O -0.933 2.434 3.770
O -1.548 4.056 1.597
O -2.416 6.355 0.561
O -3.553 8.848 1.077
O 0.937 1.347 5.293
O -0.893 4.739 5.454
O -1.543 6.131 3.065
O -2.614 8.577 3.770
O 1.641 2.025 2.600
O 0.892 3.716 0.561
O 0.650 4.584 3.065
O -0.637 7.389 5.454
O -0.901 8.299 1.597
O 3.664 1.085 5.809
O 2.739 3.369 4.773
O 1.530 5.843 5.454
O 0.893 7.256 3.065
O 4.295 1.729 3.306
O 3.658 3.143 0.916
O 2.449 5.617 1.597
O 1.524 7.900 0.561
O 6.089 0.687 4.773
O 5.825 1.596 0.916
O 4.538 4.402 3.306
O 4.296 5.270 5.809
O 3.546 6.961 3.770
O 7.802 0.409 2.600
O 6.731 2.855 3.306
O 6.081 4.246 0.916
O 4.251 7.638 1.077
O 8.740 0.138 5.293
O 7.604 2.630 5.809
O 6.736 4.930 4.773
O 6.121 6.552 2.600
O 5.886 7.501 5.293
```

| no. | formation energy without anion corrections (eV per atom) |
| --- | --- |
| 1 | -1.362 |
| 2 | -0.884 |
| 3 | -2.326 |